This record from the Alexandria database describes an optimized crystal structure of LiNd5Tm4. The functional is PBE.

Calculated values
E_form ... 0.039 eV/atom
Total DFT energy (no corrections) ... -43.2 eV/cell

a = 3.6116 Å, b = 3.6116 Å, c = 24.2875 Å
α = 90.00°, β = 90.00°, γ = 90.00°
Last column: nearest neighbours and their distance in Å.
Space group P4/mmm (No. 123)
Unique sites:
Li (0.0000, 0.0000, 0.0000) (multiplicity 1)  8 Nd 3.35, 4 Li 3.61
Nd (0.5000, 0.5000, 0.0893) (multiplicity 2)  4 Li 3.35, 4 Tm 3.55, 4 Nd 3.61
Nd (0.5000, 0.5000, 0.2946) (multiplicity 2)  8 Tm 3.57-3.59, 4 Nd 3.61
Nd (0.5000, 0.5000, 0.5000) (multiplicity 1)  8 Tm 3.57, 4 Nd 3.61
Tm (0.0000, 0.0000, 0.1909) (multiplicity 2)  8 Nd 3.55-3.59, 4 Tm 3.61
Tm (0.0000, 0.0000, 0.3971) (multiplicity 2)  8 Nd 3.57, 4 Tm 3.61

=====

This record from the Alexandria database describes an optimized crystal structure of LiNdYTm. The functional is PBE.

Calculated values
E_form ... 0.156 eV/atom
Total DFT energy (no corrections) ... -68.0 eV/cell

a = 7.8053 Å, b = 7.8053 Å, c = 7.8053 Å
α = 90.00°, β = 90.00°, γ = 90.00°
Last column: nearest neighbours and their distance in Å.
Space group F-43m (No. 216)
Unique sites:
Li (0.0000, 0.0000, 0.0000) (multiplicity 4)  4 Nd 3.38, 4 Y 3.38
Nd (0.2500, 0.2500, 0.2500) (multiplicity 4)  4 Tm 3.38, 4 Li 3.38
Y (0.2500, 0.2500, 0.7500) (multiplicity 4)  4 Li 3.38, 4 Tm 3.38
Tm (0.0000, 0.0000, 0.5000) (multiplicity 4)  4 Y 3.38, 4 Nd 3.38

=====

This record from the Alexandria database describes an optimized crystal structure of LiNdTmZn. The functional is PBE.

Calculated values
Distance to the lowest polymorph of the same formula ... 0.000 eV/atom
E_form ... -0.114 eV/atom
Total DFT energy (no corrections) ... -12.9 eV/cell

a = 3.6484 Å, b = 3.6484 Å, c = 7.4271 Å
α = 90.00°, β = 90.00°, γ = 90.00°
Last column: nearest neighbours and their distance in Å.
Space group P4mm (No. 99)
Unique sites:
Li (0.0000, 0.0000, 0.0000) (multiplicity 1)  4 Tm 3.19, 4 Nd 3.33, 1 Zn 3.46
Nd (0.5000, 0.5000, 0.7173) (multiplicity 1)  4 Zn 3.19, 4 Li 3.33, 1 Tm 3.45
Tm (0.5000, 0.5000, 0.2523) (multiplicity 1)  4 Zn 3.03, 4 Li 3.19
Zn (0.0000, 0.0000, 0.4657) (multiplicity 1)  4 Tm 3.03, 4 Nd 3.19

=====

This record from the Alexandria database describes an optimized crystal structure of LiNdTmZn. The functional is PBE.

Calculated values
Distance to the lowest polymorph of the same formula ... 0.006 eV/atom
E_form ... -0.108 eV/atom
Total DFT energy (no corrections) ... -51.4 eV/cell

a = 7.2907 Å, b = 7.2907 Å, c = 7.2907 Å
α = 90.00°, β = 90.00°, γ = 90.00°
Last column: nearest neighbours and their distance in Å.
Space group F-43m (No. 216)
Unique sites:
Li (0.0000, 0.0000, 0.0000) (multiplicity 4)  4 Tm 3.16, 4 Nd 3.16
Nd (0.2500, 0.2500, 0.7500) (multiplicity 4)  4 Li 3.16, 4 Zn 3.16
Tm (0.2500, 0.2500, 0.2500) (multiplicity 4)  4 Li 3.16, 4 Zn 3.16
Zn (0.0000, 0.0000, 0.5000) (multiplicity 4)  4 Nd 3.16, 4 Tm 3.16

=====

This record from the Alexandria database describes an optimized crystal structure of LiNdY. The functional is PBE.

Calculated values
Distance to the lowest polymorph of the same formula ... 0.058 eV/atom
E_form ... 0.105 eV/atom
Total DFT energy (no corrections) ... -12.8 eV/cell

a = 3.5473 Å, b = 3.5473 Å, c = 8.4099 Å
α = 90.00°, β = 90.00°, γ = 120.00°
Last column: nearest neighbours and their distance in Å.
Space group P3m1 (No. 156)
Unique sites:
Li (0.0000, 0.0000, 0.0000) (multiplicity 1)  3 Y 3.40, 3 Nd 3.47, 6 Li 3.55
Nd (0.3333, 0.6667, 0.6668) (multiplicity 1)  3 Li 3.47, 3 Y 3.54, 6 Nd 3.55
Y (0.6667, 0.3333, 0.3229) (multiplicity 1)  3 Li 3.40, 3 Nd 3.54, 6 Y 3.55

=====

This record from the Alexandria database describes an optimized crystal structure of LiNd4Y. The functional is PBE.

Calculated values
E_form ... 0.044 eV/atom
Total DFT energy (no corrections) ... -27.2 eV/cell

a = 3.6760 Å, b = 3.6760 Å, c = 14.3939 Å
α = 90.00°, β = 90.00°, γ = 90.00°
Last column: nearest neighbours and their distance in Å.
Space group P4/mmm (No. 123)
Unique sites:
Li (0.0000, 0.0000, 0.0000) (multiplicity 1)  8 Nd 3.35, 4 Li 3.68
Nd (0.0000, 0.0000, 0.3230) (multiplicity 2)  8 Nd 3.63-3.68, 4 Y 3.64
Nd (0.5000, 0.5000, 0.1465) (multiplicity 2)  4 Li 3.35, 8 Nd 3.63-3.68
Y (0.5000, 0.5000, 0.5000) (multiplicity 1)  8 Nd 3.64, 4 Y 3.68

=====

Q: The lowest total DFT energy (no corrections) belongs to which entry?
A: LiNdYTm